Entry 1:
DFT (PBE-GGA) results for an optimized crystal structure of NaTa3Nb.

Values from the calculation:
Energy relative to the lowest polymorph listed for this composition   0.000 eV per atom
VASP energy   -7.750 eV/atom
Formation energy from the elements   1639 meV per atom

abc: 4.970 4.970 4.970
angles: 90.00 90.00 90.00
Space group Pm-3m (No. 221)
Symmetry-distinct sites (fractional):
Na  0.000  0.000  0.000 x1
Ta  0.000  0.500  0.500 x3
Nb  0.500  0.500  0.500 x1

=====

Entry 2:
DFT (PBE-GGA) results for an optimized crystal structure of RbCa2Zr.

Values from the calculation:
Energy relative to the lowest polymorph listed for this composition   0.000 eV per atom
VASP energy   -2.639 eV/atom
Formation energy from the elements   740 meV per atom

abc: 8.605 8.605 8.605
angles: 90.00 90.00 90.00
Space group Fm-3m (No. 225)
Symmetry-distinct sites (fractional):
Rb  0.000  0.000  0.000 x4
Ca  0.250  0.250  0.250 x8
Zr  0.000  0.000  0.500 x4

=====

Entry 3:
DFT (PBE-GGA) results for an optimized crystal structure of TlCu2RuO8.

Values from the calculation:
VASP energy   -5.222 eV/atom
Energy relative to the elements, uncorrected   -0.264 eV/atom

abc: 6.575 6.575 6.669
angles: 90.00 90.00 90.00
Space group I-4m2 (No. 119)
Symmetry-distinct sites (fractional):
Tl  0.000  0.000  0.000 x2
Cu  0.000  0.000  0.500 x2
Cu  0.000  0.500  0.750 x2
Ru  0.000  0.500  0.250 x2
O  0.000  0.210  0.306 x8
O  0.000  0.337  0.977 x8

=====

Entry 4:
DFT (PBE-GGA) results for an optimized crystal structure of Pu4SiGe3.

Values from the calculation:
VASP energy   -9.655 eV/atom
Energy relative to the elements, uncorrected   -0.079 eV/atom

abc: 3.522 4.815 9.259
angles: 90.00 90.00 90.00
Space group Pmm2 (No. 25)
Symmetry-distinct sites (fractional):
Pu  0.000  0.000  0.000 x1
Pu  0.000  0.500  0.494 x1
Pu  0.500  0.000  0.834 x1
Pu  0.500  0.500  0.329 x1
Si  0.000  0.000  0.309 x1
Ge  0.000  0.500  0.801 x1
Ge  0.500  0.000  0.522 x1
Ge  0.500  0.500  0.025 x1